[1]
Entry from Alexandria via LeMat-Bulk: an optimized crystal structure of Pm2DyRh2 (PBE).

Calculated values
ΔE_f = -637 meV per atom
calculated density = 8.50 g/cm³
D(E_F) = 5.7 states/eV/cell
E above lowest polymorph = 0.000 eV/atom
raw total energy = -0.2351 Ha/atom

a = 6.8351 Å, b = 6.8351 Å, c = 9.9300 Å
α = 90.00°, β = 90.00°, γ = 146.34°
Fractional coordinates of all 10 atoms:
Pm (0.0982, 0.9018, 0.5000)
Pm (0.3601, 0.6399, 0.6803)
Pm (0.6399, 0.3601, 0.1803)
Pm (0.9018, 0.0982, 0.0000)
Dy (0.3521, 0.6479, 0.3131)
Dy (0.6479, 0.3521, 0.8131)
Rh (0.0064, 0.9936, 0.7543)
Rh (0.2421, 0.7579, 0.9921)
Rh (0.7579, 0.2421, 0.4921)
Rh (0.9936, 0.0064, 0.2543)



[2]
Entry from Alexandria via LeMat-Bulk: an optimized crystal structure of CeErGaOs (PBE).

Calculated values
ΔE_f = -316 meV per atom
calculated density = 10.99 g/cm³
D(E_F) = 4.0 states/eV/cell
raw total energy = -0.2390 Ha/atom

a = 4.9497 Å, b = 4.9497 Å, c = 4.9497 Å
α = 60.00°, β = 60.00°, γ = 60.00°
Fractional coordinates of all 4 atoms:
Ce (0.0000, 0.0000, 0.0000)
Er (0.5000, 0.5000, 0.5000)
Ga (0.7500, 0.7500, 0.7500)
Os (0.2500, 0.2500, 0.2500)



[3]
Entry from Alexandria via LeMat-Bulk: an optimized crystal structure of Hg2TePb (PBE).

Calculated values
calculated density = 9.12 g/cm³
D(E_F) = 1.0 states/eV/cell
formation energy (no corrections) = -121 meV per atom
E above lowest polymorph = 0.044 eV/atom
raw total energy = -0.0729 Ha/atom

a = 4.5834 Å, b = 4.5834 Å, c = 7.8183 Å
α = 107.39°, β = 107.39°, γ = 60.45°
Fractional coordinates of all 4 atoms:
Hg (0.0000, 0.0000, 0.0000)
Hg (0.7395, 0.7395, 0.2200)
Te (0.5000, 0.5000, 0.5041)
Pb (0.2416, 0.2416, 0.7263)